# K2NaPbF8

A relaxed K2NaPbF8 crystal (PBE, the Alexandria database).

Output
- E_form (uncorrected) (eV/atom) = -2.240
- V (Å³/f.u.) = 208
- raw total energy (eV/atom) = -4.09
- space-group type = P2/m

Geometry as extended XYZ:
```
12
Lattice="-0.4445 4.6086 -1.0180 -3.9921 -1.7921 -3.8435 -5.3878 0.6491 5.2923" Properties=species:S:1:pos:R:3 pbc="T T T"
F -2.4587 4.0112 -0.6809
F -6.2716 1.3261 -1.1187
F -5.5504 4.3833 2.3551
F -8.8537 1.9934 1.5994
F -4.2740 -0.9178 -1.9243
F -3.5528 2.1395 1.5495
F -0.9707 1.4721 -1.1686
F -7.3657 -0.5457 1.1118
K -3.5651 1.5708 -1.1077
K -6.2592 1.8947 1.5385
Na -2.6939 0.3245 2.6462
Pb 0.0000 0.0000 0.0000
```

---

# ErB2Ir

A relaxed ErB2Ir crystal (PBE, the Alexandria database).

Output
- V (Å³/f.u.) = 53
- formation enthalpy at 0 K (eV/f.u.) = -1.843
- raw total energy (eV/atom) = -7.16
- space-group type = R-3m

Geometry as extended XYZ:
```
4
Lattice="3.6756 0.0000 0.0000 1.8378 3.1831 0.0000 1.8378 1.0610 4.5680" Properties=species:S:1:pos:R:3 pbc="T T T"
Ir 0.0000 0.0000 0.0000
B 1.8378 1.0610 0.5372
B 5.5134 3.1831 4.0308
Er 3.6756 2.1221 2.2840
```

---

# ErCo6Ge6

A relaxed ErCo6Ge6 crystal (PBE, the Alexandria database).

Output
- V (Å³/f.u.) = 175
- formation enthalpy at 0 K (eV/f.u.) = -4.599
- raw total energy (eV/atom) = -6.12
- space-group type = Immm

Geometry as extended XYZ:
```
13
Lattice="-3.5275 2.5012 2.6826 -5.7313 0.1840 -2.8814 -3.7212 -3.8572 3.5297" Properties=species:S:1:pos:R:3 pbc="T T T"
Ge -10.2175 -1.3818 2.3325
Ge -2.7625 0.2098 0.9984
Ge -4.4134 -2.4655 1.3219
Ge -7.4604 -1.5972 1.3323
Ge -5.5196 0.4252 1.9986
Ge -5.0391 -1.2077 -0.6736
Co -6.9880 0.4152 0.0771
Co -2.8657 0.0920 -1.4407
Co -4.6294 1.3426 -0.0994
Co -1.8606 -1.9286 1.7649
Co -5.9920 -1.5872 3.2538
Co -3.6243 -0.6780 3.1062
Er 0.0000 0.0000 0.0000
```

---

# PuPaZnAu

A relaxed PuPaZnAu crystal (PBE, the Alexandria database).

Output
- V (Å³/f.u.) = 88
- formation enthalpy at 0 K (eV/f.u.) = 0.513
- raw total energy (eV/atom) = -6.97
- space-group type = Amm2

Geometry as extended XYZ:
```
4
Lattice="3.0226 0.0000 0.0000 -1.5113 5.3365 0.0000 0.0000 0.0000 5.4645" Properties=species:S:1:pos:R:3 pbc="T T T"
Pu 0.0000 2.1270 0.0000
Zn 0.0000 0.7673 2.7323
Pa 1.5113 4.7074 0.0000
Au 1.5113 3.2032 2.7323
```

---

# Hf2MgOs

A relaxed Hf2MgOs crystal (PBE, the Alexandria database).

Output
- V (Å³/f.u.) = 74
- formation enthalpy at 0 K (eV/f.u.) = -0.962
- raw total energy (eV/atom) = -8.42
- space-group type = P4/mmm

Geometry as extended XYZ:
```
4
Lattice="3.3470 0.0000 0.0000 0.0000 4.7057 0.0000 0.0000 0.0000 4.7057" Properties=species:S:1:pos:R:3 pbc="T T T"
Hf 0.0000 2.3529 0.0000
Hf 0.0000 0.0000 2.3529
Os 1.6735 2.3529 2.3529
Mg 1.6735 0.0000 0.0000
```

---

# AsP2Br

A relaxed AsP2Br crystal (PBE, the Alexandria database).

Output
- E_form (uncorrected) (eV/atom) = 0.363
- V (Å³/f.u.) = 110
- raw total energy (eV/atom) = -3.92
- space-group type = Imm2

Geometry as extended XYZ:
```
4
Lattice="-1.3796 -2.6472 7.9783 2.2288 -5.8583 5.7685 0.9561 6.2193 -5.7420" Properties=species:S:1:pos:R:3 pbc="T T T"
P 0.0871 -1.2072 5.9559
P 0.7968 -7.9811 12.8992
As 0.4759 -4.7671 7.7047
Br 1.7192 -1.0891 2.0652
```

---

# Th2Si4Pt3Rh

A relaxed Th2Si4Pt3Rh crystal (PBE, the Alexandria database).

Output
- E_form (uncorrected) (eV/atom) = -1.134
- V (Å³/f.u.) = 179
- raw total energy (eV/atom) = -7.33
- space-group type = P-4m2

Geometry as extended XYZ:
```
10
Lattice="-0.4448 -2.9322 -3.0312 -0.7191 -2.9507 2.9598 -9.7461 1.9335 -0.4402" Properties=species:S:1:pos:R:3 pbc="T T T"
Pt -1.5378 -1.2416 1.4267
Pt -8.7903 0.2337 -1.9026
Pt -4.8731 0.9668 -0.2201
Th -2.6702 -0.9805 -1.6262
Th -7.6579 -0.0274 1.1503
Si -6.3890 -0.2427 -1.7941
Si -0.5819 -2.9415 -0.0357
Si 0.0000 0.0000 0.0000
Si -3.9391 -0.7652 1.3182
Rh -5.4550 -1.9747 -0.2558
```

---

# Na8Tl2Ga

A relaxed Na8Tl2Ga crystal (PBE, the Alexandria database).

Output
- V (Å³/f.u.) = 322
- formation enthalpy at 0 K (eV/f.u.) = -0.449
- raw total energy (eV/atom) = -1.71
- space-group type = P1

Geometry as extended XYZ:
```
11
Lattice="4.8607 -0.0001 0.8850 -0.2909 7.4597 1.6272 0.8733 0.2376 9.1059" Properties=species:S:1:pos:R:3 pbc="T T T"
Na 1.0124 3.4933 7.8825
Na 3.6530 1.5951 7.1612
Na 2.1924 1.8730 1.3307
Na 1.7316 6.0908 3.9088
Na 4.2536 0.7394 3.8234
Na 1.1315 6.9478 7.2484
Na 3.1929 5.8131 9.7372
Na 4.3731 4.1943 3.1738
Tl 1.5884 2.8144 4.6662
Tl 3.7979 4.8712 6.3949
Ga 5.7051 0.2329 9.7190
```